Record 1
This record from the Open Quantum Materials Database describes a geometry-optimized AlAs2Ir structure. The functional is PBE.

Results
As for the symmetry: F-43m, No. 216. Its total magnetization is 0.000 μB per formula unit. Its total energy is -21.12 eV per cell.

```
AlAs2Ir
1.0
0.0000 3.2154 3.2154
3.2154 0.0000 3.2154
3.2154 3.2154 0.0000
Al As Ir
1 2 1
direct
0.0000 0.0000 0.0000
0.5000 0.5000 0.5000
0.7500 0.7500 0.7500
0.2500 0.2500 0.2500
```

Record 2
This record from the Open Quantum Materials Database describes a geometry-optimized Tm5Ge4 structure. The functional is PBE.

Results
As for the symmetry: Pnma, No. 62. Its total magnetization is 0.004 μB per formula unit. Its total energy is -193.85 eV per cell.

```
Tm5Ge4
1.0
7.5309 0.0000 0.0000
0.0000 14.4784 0.0000
0.0000 0.0000 7.6055
Tm Ge
20 16
direct
0.0260 0.1001 0.1767
0.0260 0.3999 0.1767
0.1253 0.6185 0.3387
0.1253 0.8815 0.3387
0.2100 0.2500 0.5010
0.2900 0.7500 0.0010
0.3747 0.1185 0.8387
0.3747 0.3815 0.8387
0.4740 0.6001 0.6767
0.4740 0.8999 0.6767
0.5260 0.1001 0.3233
0.5260 0.3999 0.3233
0.6253 0.6185 0.1613
0.6253 0.8815 0.1613
0.7100 0.2500 0.9990
0.7900 0.7500 0.4990
0.8747 0.1185 0.6613
0.8747 0.3815 0.6613
0.9740 0.6001 0.8233
0.9740 0.8999 0.8233
0.0768 0.2500 0.8815
0.1665 0.7500 0.6401
0.2160 0.0435 0.5335
0.2160 0.4565 0.5335
0.2840 0.5435 0.0335
0.2840 0.9565 0.0335
0.3335 0.2500 0.1401
0.4232 0.7500 0.3815
0.5768 0.2500 0.6185
0.6665 0.7500 0.8599
0.7160 0.0435 0.9665
0.7160 0.4565 0.9665
0.7840 0.5435 0.4665
0.7840 0.9565 0.4665
0.8335 0.2500 0.3599
0.9232 0.7500 0.1185
```

Record 3
This record from the Open Quantum Materials Database describes a geometry-optimized Cd2NiB structure. The functional is PBE.

Results
As for the symmetry: F-43m, No. 216. Its total magnetization is 0.004 μB per formula unit. Its total energy is -10.70 eV per cell.

```
Cd2NiB
1.0
0.0000 3.1130 3.1130
3.1130 0.0000 3.1130
3.1130 3.1130 0.0000
Cd Ni B
2 1 1
direct
0.0000 0.0000 0.0000
0.2500 0.2500 0.2500
0.7500 0.7500 0.7500
0.5000 0.5000 0.5000
```